Here is a relaxed structure of GaCoSN2 from Alexandria via LeMat-Bulk. Energies are from PBE.

Properties
- Volume: 14.87 Å³/atom
- Formation energy (no corrections): 7.09 eV/f.u.
- Energy above the lowest structure with this stoichiometry: 612.3 meV/atom

Lattice parameters (Å, degrees): 3.7260 3.7260 5.3562 90.00 90.00 90.00
Closest atoms and distances in Å follow each position.
Space group P4/mmm (No. 123)
One atom of each set of equivalent atoms:
Ga 0.0000 0.0000 0.0000 (multiplicity 1)  4 N 1.86
Co 0.5000 0.5000 0.5000 (multiplicity 1)  4 S 2.63
S 0.0000 0.0000 0.5000 (multiplicity 1)  4 Co 2.63, 2 Ga 2.68
N 0.0000 0.5000 0.0000 (multiplicity 2)  2 Ga 1.86

Here is a relaxed structure of NbCdCoSb2 from Alexandria via LeMat-Bulk. Energies are from PBE.

Properties
- Volume: 27.51 Å³/atom
- Formation energy (no corrections): 3.84 eV/f.u.

Lattice parameters (Å, degrees): 5.3512 5.3512 4.8034 90.00 90.00 90.00
Closest atoms and distances in Å follow each position.
Space group P4/mmm (No. 123)
One atom of each set of equivalent atoms:
Nb 0.0000 0.0000 0.0000 (multiplicity 1)  2 Co 2.40, 4 Sb 2.68
Cd 0.5000 0.5000 0.5000 (multiplicity 1)  8 Sb 3.60, 4 Co 3.78
Co 0.0000 0.0000 0.5000 (multiplicity 1)  2 Nb 2.40
Sb 0.0000 0.5000 0.0000 (multiplicity 2)  2 Nb 2.68

Here is a relaxed structure of Tm2AlSi4Ir3 from Alexandria via LeMat-Bulk. Energies are from PBE.

Properties
- Volume: 16.79 Å³/atom
- Formation energy (no corrections): -9.06 eV/f.u.

Lattice parameters (Å, degrees): 4.0206 4.0206 10.3857 90.00 90.00 90.00
Closest atoms and distances in Å follow each position.
Space group P-4m2 (No. 115)
One atom of each set of equivalent atoms:
Tm 0.0000 0.5000 0.2460 (multiplicity 2)  8 Si 3.06-3.25, 6 Ir 3.10-3.32, 2 Al 3.32
Al 0.0000 0.0000 0.5000 (multiplicity 1)  4 Si 2.51
Si 0.0000 0.0000 0.0000 (multiplicity 1)  4 Ir 2.41
Si 0.0000 0.5000 0.6454 (multiplicity 2)  3 Ir 2.36-2.51, 2 Al 2.51
Si 0.5000 0.5000 0.0000 (multiplicity 1)  4 Ir 2.41
Ir 0.0000 0.5000 0.8726 (multiplicity 2)  5 Si 2.36-2.41
Ir 0.5000 0.5000 0.5000 (multiplicity 1)  4 Si 2.51

Here is a relaxed structure of BaAs2SeBr from Alexandria via LeMat-Bulk. Energies are from PBE.

Properties
- Volume: 56.51 Å³/atom
- Formation energy (no corrections): 3.38 eV/f.u.
- Energy above the lowest structure with this stoichiometry: 988.2 meV/atom

Lattice parameters (Å, degrees): 6.7217 6.7217 6.2531 90.00 90.00 90.00
Closest atoms and distances in Å follow each position.
Space group P4/mmm (No. 123)
One atom of each set of equivalent atoms:
Ba 0.0000 0.0000 0.0000 (multiplicity 1)  2 Br 3.13, 4 As 3.36
As 0.0000 0.5000 0.0000 (multiplicity 2)  2 Ba 3.36
Se 0.5000 0.5000 0.5000 (multiplicity 1)  8 As 4.59, 4 Br 4.75
Br 0.0000 0.0000 0.5000 (multiplicity 1)  2 Ba 3.13

Here is a relaxed structure of FeMoRu2 from Alexandria via LeMat-Bulk. Energies are from PBE.

Properties
- Volume: 13.85 Å³/atom
- Energy above the lowest structure with this stoichiometry: 111.5 meV/atom
- E_form: 3.48 kcal/mol of atoms

Lattice parameters (Å, degrees): 2.7230 2.7230 25.8896 90.00 90.00 120.00
Closest atoms and distances in Å follow each position.
Space group R3m (No. 160, hexagonal axes)
One atom of each set of equivalent atoms:
Fe 0.0000 0.0000 0.0000 (multiplicity 3)  6 Ru 2.55-2.61, 6 Fe 2.72
Mo 0.0000 0.0000 0.1658 (multiplicity 3)  6 Mo 2.72, 6 Ru 2.75-2.77
Ru 0.0000 0.0000 0.5864 (multiplicity 3)  3 Fe 2.61, 6 Ru 2.72, 3 Mo 2.75
Ru 0.0000 0.0000 0.7443 (multiplicity 3)  3 Fe 2.55, 6 Ru 2.72, 3 Mo 2.77

Here is a relaxed structure of AlGaCu from Alexandria via LeMat-Bulk. Energies are from PBE.

Properties
- Volume: 16.21 Å³/atom
- E_form: -3.15 kcal/mol of atoms

Lattice parameters (Å, degrees): 5.7940 5.7940 5.7940 90.00 90.00 90.00
Closest atoms and distances in Å follow each position.
Space group F-43m (No. 216)
One atom of each set of equivalent atoms:
Al 0.0000 0.0000 0.0000 (multiplicity 4)  4 Cu 2.51
Ga 0.0000 0.0000 0.5000 (multiplicity 4)  4 Cu 2.51
Cu 0.2500 0.2500 0.7500 (multiplicity 4)  4 Al 2.51, 4 Ga 2.51

Here is a relaxed structure of Tb6ErTl from Alexandria via LeMat-Bulk. Energies are from PBE.

Properties
- Volume: 30.94 Å³/atom
- Energy above the lowest structure with this stoichiometry: 147.4 meV/atom
- E_form: 1.60 kcal/mol of atoms

Lattice parameters (Å, degrees): 6.6565 11.3798 6.5361 90.00 90.03 90.00
Closest atoms and distances in Å follow each position.
Space group C2/m (No. 12)
One atom of each set of equivalent atoms:
Tb 0.0743 0.0000 0.2497 (multiplicity 4)  1 Tl 3.27, 1 Er 3.27, 6 Tb 3.38-3.42
Tb 0.2239 0.2854 0.2496 (multiplicity 8)  1 Tl 3.29, 1 Er 3.30, 6 Tb 3.38-3.42
Er 0.0000 0.5000 0.5000 (multiplicity 2)  2 Tl 3.27, 6 Tb 3.27-3.30
Tl 0.0000 0.5000 0.0000 (multiplicity 2)  2 Er 3.27, 6 Tb 3.27-3.29

Here is a relaxed structure of AcLa5Pb6 from Alexandria via LeMat-Bulk. Energies are from PBE.

Properties
- Volume: 32.69 Å³/atom
- E_form: -12.58 kcal/mol of atoms

Lattice parameters (Å, degrees): 9.3234 18.2107 6.0681 90.00 130.40 90.00
Closest atoms and distances in Å follow each position.
Space group C2/m (No. 12)
One atom of each set of equivalent atoms:
Ac 0.0000 0.0000 0.0000 (multiplicity 2)  2 La 3.55, 8 Pb 3.57-3.58
La 0.0000 0.1633 0.5000 (multiplicity 4)  8 Pb 3.51-3.55, 2 La 3.55
La 0.0000 0.3304 0.0000 (multiplicity 4)  8 Pb 3.47-3.51, 2 La 3.55
La 0.0000 0.5000 0.5000 (multiplicity 2)  8 Pb 3.46-3.51, 2 Ac 3.55
Pb 0.2345 0.5000 0.2344 (multiplicity 4)  1 Pb 3.33, 6 La 3.46-3.52, 2 Ac 3.57-3.58
Pb 0.2418 0.3316 0.7417 (multiplicity 8)  2 Pb 3.43-3.67, 7 La 3.47-3.55, 1 Ac 3.57